First-principles (PBE) data for a geometry-optimized CdBiTeO2 structure, as listed in the Alexandria database.

Results
E_form (uncorrected) = -0.20 eV per atom
crystal system = tetragonal
SG = P4/mmm (123)

Lattice parameters (Å, degrees): 4.201 4.201 9.180 90.00 90.00 90.00
Element x y z (fractional)
1 Cd 0.000 0.000 0.000
2 Bi 0.000 0.000 0.500
3 Te 0.500 0.500 0.000
4 O 0.000 0.500 0.500
5 O 0.500 0.000 0.500

***

First-principles (PBE) data for a geometry-optimized CdBiTeO6 structure, as listed in the Alexandria database.

Results
E_form (uncorrected) = -0.97 eV per atom
crystal system = trigonal
SG = P-31c (163)

Lattice parameters (Å, degrees): 5.595 5.595 9.595 90.00 90.00 120.00
Element x y z (fractional)
1 Cd 0.000 0.000 0.000
2 Cd 0.000 0.000 0.500
3 Bi 0.333 0.667 0.250
4 Bi 0.667 0.333 0.750
5 Te 0.333 0.667 0.750
6 Te 0.667 0.333 0.250
7 O 0.038 0.380 0.634
8 O 0.038 0.658 0.866
9 O 0.342 0.380 0.866
10 O 0.342 0.962 0.634
11 O 0.380 0.038 0.134
12 O 0.380 0.342 0.366
13 O 0.620 0.658 0.634
14 O 0.620 0.962 0.866
15 O 0.658 0.038 0.366
16 O 0.658 0.620 0.134
17 O 0.962 0.342 0.134
18 O 0.962 0.620 0.366

***

First-principles (PBE) data for a geometry-optimized CdBi2TeO8 structure, as listed in the Alexandria database.

Results
E_form (uncorrected) = -0.99 eV per atom
crystal system = orthorhombic
SG = Cmmm (65)

Lattice parameters (Å, degrees): 5.012 5.012 6.974 90.00 90.00 90.07
Element x y z (fractional)
1 Cd 0.000 0.000 0.000
2 Bi 0.500 0.500 0.250
3 Bi 0.500 0.500 0.750
4 Te 0.000 0.000 0.500
5 O 0.183 0.817 0.289
6 O 0.183 0.817 0.711
7 O 0.282 0.282 0.500
8 O 0.313 0.313 0.000
9 O 0.687 0.687 0.000
10 O 0.718 0.718 0.500
11 O 0.817 0.183 0.289
12 O 0.817 0.183 0.711

***

First-principles (PBE) data for a geometry-optimized Cd2BiTeO6 structure, as listed in the Alexandria database.

Results
E_form (uncorrected) = -1.04 eV per atom
crystal system = trigonal
SG = R3 (146)

Lattice parameters (Å, degrees): 6.089 6.089 6.089 56.69 56.69 56.69
Element x y z (fractional)
1 Cd 0.000 0.000 0.000
2 Cd 0.492 0.492 0.492
3 Bi 0.217 0.217 0.217
4 Te 0.709 0.709 0.709
5 O 0.069 0.449 0.817
6 O 0.350 0.907 0.609
7 O 0.449 0.817 0.069
8 O 0.609 0.350 0.907
9 O 0.817 0.069 0.449
10 O 0.907 0.609 0.350

***

First-principles (PBE) data for a geometry-optimized Tl4CdBiO8 structure, as listed in the Alexandria database.

Results
E_form (uncorrected) = -0.80 eV per atom
crystal system = trigonal
SG = R3m (160)

Lattice parameters (Å, degrees): 6.960 6.960 6.960 59.38 59.38 59.38
Element x y z (fractional)
1 Tl 0.000 0.000 0.000
2 Tl 0.128 0.625 0.625
3 Tl 0.625 0.128 0.625
4 Tl 0.625 0.625 0.128
5 Cd 0.250 0.250 0.250
6 Bi 0.625 0.625 0.625
7 O 0.385 0.385 0.847
8 O 0.385 0.847 0.385
9 O 0.387 0.387 0.387
10 O 0.407 0.872 0.872
11 O 0.847 0.385 0.385
12 O 0.863 0.863 0.863
13 O 0.872 0.407 0.872
14 O 0.872 0.872 0.407

***

First-principles (PBE) data for a geometry-optimized TlCd2BiO6 structure, as listed in the Alexandria database.

Results
E_form (uncorrected) = -0.87 eV per atom
crystal system = monoclinic
SG = P2_1/c (14)

Lattice parameters (Å, degrees): 5.756 5.837 10.183 90.00 123.90 90.00
Element x y z (fractional)
1 Tl 0.000 0.000 0.000
2 Tl 0.000 0.500 0.500
3 Cd 0.230 0.042 0.737
4 Cd 0.230 0.458 0.237
5 Cd 0.770 0.542 0.763
6 Cd 0.770 0.958 0.263
7 Bi 0.500 0.000 0.500
8 Bi 0.500 0.500 0.000
9 O 0.132 0.179 0.448
10 O 0.132 0.321 0.948
11 O 0.231 0.702 0.411
12 O 0.231 0.798 0.911
13 O 0.392 0.088 0.265
14 O 0.392 0.412 0.765
15 O 0.608 0.588 0.235
16 O 0.608 0.912 0.735
17 O 0.769 0.202 0.089
18 O 0.769 0.298 0.589
19 O 0.868 0.679 0.052
20 O 0.868 0.821 0.552

***

First-principles (PBE) data for a geometry-optimized TlCdBi2O6 structure, as listed in the Alexandria database.

Results
E_form (uncorrected) = -0.97 eV per atom
crystal system = trigonal
SG = R3 (146)

Lattice parameters (Å, degrees): 6.206 6.206 6.206 56.89 56.89 56.89
Element x y z (fractional)
1 Tl 0.000 0.000 0.000
2 Cd 0.503 0.503 0.503
3 Bi 0.286 0.286 0.286
4 Bi 0.786 0.786 0.786
5 O 0.095 0.384 0.679
6 O 0.173 0.896 0.594
7 O 0.384 0.679 0.095
8 O 0.594 0.173 0.896
9 O 0.679 0.095 0.384
10 O 0.896 0.594 0.173

***

First-principles (PBE) data for a geometry-optimized Tl2CdBiO4 structure, as listed in the Alexandria database.

Results
E_form (uncorrected) = -0.81 eV per atom
crystal system = triclinic
SG = P1 (1)

Lattice parameters (Å, degrees): 4.567 6.025 6.353 108.87 110.99 90.03
Element x y z (fractional)
1 Tl 0.000 0.000 0.000
2 Tl 0.235 0.799 0.471
3 Cd 0.752 0.227 0.503
4 Bi 0.483 0.465 0.966
5 O 0.293 0.234 0.586
6 O 0.561 0.198 0.122
7 O 0.735 0.804 0.470
8 O 0.957 0.379 0.915